(1)
Tb3ThN4 | GGA-PBE | relaxed

## Properties
As for the space group: No. 65. For the total energy, the calculation gives -0.3116 Ha/atom. The distance to the lowest polymorph of the same formula is 0.0 kJ/mol of atoms.

CIF file:
```
data_Tb3ThN4
_symmetry_space_group_name_H-M 'P 1'
_symmetry_Int_Tables_number 1
_symmetry_space_group_name_Hall 'P 1'
_cell_length_a 6.129
_cell_length_b 6.129
_cell_length_c 3.552
_cell_angle_alpha 90.00
_cell_angle_beta 90.00
_cell_angle_gamma 109.34
loop_
_atom_site_label
_atom_site_type_symbol
_atom_site_fract_x
_atom_site_fract_y
_atom_site_fract_z
_atom_site_occupancy
Tb1 Tb 0.000 0.000 0.000 1
Tb2 Tb 0.000 0.500 0.500 1
Tb3 Tb 0.500 0.000 0.500 1
Th1 Th 0.500 0.500 0.000 1
N1 N 0.249 0.249 0.500 1
N2 N 0.251 0.749 0.000 1
N3 N 0.749 0.251 0.000 1
N4 N 0.751 0.751 0.500 1
```

***

(2)
TbThN2 | GGA-PBE | relaxed

## Properties
As for the space group: No. 160. For the total energy, the calculation gives -0.3135 Ha/atom.

CIF file:
```
data_TbThN2
_symmetry_space_group_name_H-M 'P 1'
_symmetry_Int_Tables_number 1
_symmetry_space_group_name_Hall 'P 1'
_cell_length_a 6.431
_cell_length_b 6.431
_cell_length_c 6.431
_cell_angle_alpha 31.95
_cell_angle_beta 31.95
_cell_angle_gamma 31.95
loop_
_atom_site_label
_atom_site_type_symbol
_atom_site_fract_x
_atom_site_fract_y
_atom_site_fract_z
_atom_site_occupancy
Tb1 Tb 0.000 0.000 0.000 1
Th1 Th 0.174 0.174 0.174 1
N1 N 0.590 0.590 0.590 1
N2 N 0.759 0.759 0.759 1
```

***

(3)
Tb3ThN4 | GGA-PBE | relaxed

## Properties
As for the space group: No. 221. For the total energy, the calculation gives -0.3114 Ha/atom. The distance to the lowest polymorph of the same formula is 0.7 kJ/mol of atoms.

CIF file:
```
data_Tb3ThN4
_symmetry_space_group_name_H-M 'P 1'
_symmetry_Int_Tables_number 1
_symmetry_space_group_name_Hall 'P 1'
_cell_length_a 5.014
_cell_length_b 5.014
_cell_length_c 5.014
_cell_angle_alpha 90.00
_cell_angle_beta 90.00
_cell_angle_gamma 90.00
loop_
_atom_site_label
_atom_site_type_symbol
_atom_site_fract_x
_atom_site_fract_y
_atom_site_fract_z
_atom_site_occupancy
Tb1 Tb 0.000 0.000 0.500 1
Tb2 Tb 0.000 0.500 0.000 1
Tb3 Tb 0.500 0.000 0.000 1
Th1 Th 0.500 0.500 0.500 1
N1 N 0.000 0.000 0.000 1
N2 N 0.000 0.500 0.500 1
N3 N 0.500 0.000 0.500 1
N4 N 0.500 0.500 0.000 1
```

***

(4)
TbThN2 | GGA-PBE | relaxed

## Properties
As for the space group: No. 194. For the total energy, the calculation gives -0.3211 Ha/atom.

CIF file:
```
data_TbThN2
_symmetry_space_group_name_H-M 'P 1'
_symmetry_Int_Tables_number 1
_symmetry_space_group_name_Hall 'P 1'
_cell_length_a 3.578
_cell_length_b 3.578
_cell_length_c 11.812
_cell_angle_alpha 90.00
_cell_angle_beta 90.00
_cell_angle_gamma 120.00
loop_
_atom_site_label
_atom_site_type_symbol
_atom_site_fract_x
_atom_site_fract_y
_atom_site_fract_z
_atom_site_occupancy
Tb1 Tb 0.333 0.667 0.250 1
Tb2 Tb 0.667 0.333 0.750 1
Th1 Th 0.000 0.000 0.000 1
Th2 Th 0.000 0.000 0.500 1
N1 N 0.333 0.667 0.622 1
N2 N 0.333 0.667 0.878 1
N3 N 0.667 0.333 0.122 1
N4 N 0.667 0.333 0.378 1
```

***

(5)
Tb3Th2N4 | GGA-PBE | relaxed

## Properties
As for the space group: No. 12. For the total energy, the calculation gives -0.3036 Ha/atom.

CIF file:
```
data_Tb3Th2N4
_symmetry_space_group_name_H-M 'P 1'
_symmetry_Int_Tables_number 1
_symmetry_space_group_name_Hall 'P 1'
_cell_length_a 6.153
_cell_length_b 6.153
_cell_length_c 8.805
_cell_angle_alpha 117.69
_cell_angle_beta 117.69
_cell_angle_gamma 33.63
loop_
_atom_site_label
_atom_site_type_symbol
_atom_site_fract_x
_atom_site_fract_y
_atom_site_fract_z
_atom_site_occupancy
Tb1 Tb 0.000 0.000 0.000 1
Tb2 Tb 0.210 0.210 0.816 1
Tb3 Tb 0.790 0.790 0.184 1
Th1 Th 0.399 0.399 0.610 1
Th2 Th 0.601 0.601 0.390 1
N1 N 0.194 0.194 0.292 1
N2 N 0.399 0.399 0.099 1
N3 N 0.601 0.601 0.901 1
N4 N 0.806 0.806 0.708 1
```

***

(6)
Tb2Th4N | GGA-PBE | relaxed

## Properties
As for the space group: No. 139. For the total energy, the calculation gives -0.2561 Ha/atom.

CIF file:
```
data_Tb2Th4N
_symmetry_space_group_name_H-M 'P 1'
_symmetry_Int_Tables_number 1
_symmetry_space_group_name_Hall 'P 1'
_cell_length_a 9.269
_cell_length_b 9.269
_cell_length_c 9.269
_cell_angle_alpha 148.30
_cell_angle_beta 148.30
_cell_angle_gamma 45.45
loop_
_atom_site_label
_atom_site_type_symbol
_atom_site_fract_x
_atom_site_fract_y
_atom_site_fract_z
_atom_site_occupancy
Tb1 Tb 0.149 0.149 0.000 1
Tb2 Tb 0.851 0.851 0.000 1
Th1 Th 0.000 0.500 0.500 1
Th2 Th 0.360 0.360 0.000 1
Th3 Th 0.500 0.000 0.500 1
Th4 Th 0.640 0.640 0.000 1
N1 N 0.500 0.500 0.000 1
```

***

(7)
TbTh4N4 | GGA-PBE | relaxed

## Properties
As for the space group: No. 87. For the total energy, the calculation gives -0.3253 Ha/atom.

CIF file:
```
data_TbTh4N4
_symmetry_space_group_name_H-M 'P 1'
_symmetry_Int_Tables_number 1
_symmetry_space_group_name_Hall 'P 1'
_cell_length_a 6.291
_cell_length_b 6.291
_cell_length_c 6.291
_cell_angle_alpha 99.80
_cell_angle_beta 99.80
_cell_angle_gamma 131.26
loop_
_atom_site_label
_atom_site_type_symbol
_atom_site_fract_x
_atom_site_fract_y
_atom_site_fract_z
_atom_site_occupancy
Tb1 Tb 0.000 0.000 0.000 1
Th1 Th 0.193 0.394 0.587 1
Th2 Th 0.394 0.807 0.201 1
Th3 Th 0.606 0.193 0.799 1
Th4 Th 0.807 0.606 0.413 1
N1 N 0.100 0.701 0.801 1
N2 N 0.299 0.100 0.400 1
N3 N 0.701 0.900 0.600 1
N4 N 0.900 0.299 0.199 1
```

***

(8)
Tb3Th5N8 | GGA-PBE | relaxed

## Properties
As for the space group: No. 166. For the total energy, the calculation gives -0.3285 Ha/atom.

CIF file:
```
data_Tb3Th5N8
_symmetry_space_group_name_H-M 'P 1'
_symmetry_Int_Tables_number 1
_symmetry_space_group_name_Hall 'P 1'
_cell_length_a 7.206
_cell_length_b 7.206
_cell_length_c 7.206
_cell_angle_alpha 60.08
_cell_angle_beta 60.08
_cell_angle_gamma 60.08
loop_
_atom_site_label
_atom_site_type_symbol
_atom_site_fract_x
_atom_site_fract_y
_atom_site_fract_z
_atom_site_occupancy
Tb1 Tb 0.000 0.500 0.500 1
Tb2 Tb 0.500 0.000 0.500 1
Tb3 Tb 0.500 0.500 0.000 1
Th1 Th 0.000 0.000 0.000 1
Th2 Th 0.000 0.000 0.500 1
Th3 Th 0.000 0.500 0.000 1
Th4 Th 0.500 0.000 0.000 1
Th5 Th 0.500 0.500 0.500 1
N1 N 0.250 0.250 0.250 1
N2 N 0.250 0.250 0.747 1
N3 N 0.250 0.747 0.250 1
N4 N 0.253 0.750 0.750 1
N5 N 0.747 0.250 0.250 1
N6 N 0.750 0.253 0.750 1
N7 N 0.750 0.750 0.253 1
N8 N 0.750 0.750 0.750 1
```

***

| no. | DOS(E_F) (states/eV per atom) | formation energy (no corrections) (kJ per mole of atoms) |
| --- | --- | --- |
| 1 | 0.22 | -160 |
| 2 | 0.53 | -131 |
| 3 | 0.22 | -159 |
| 4 | 0.33 | -151 |
| 5 | 0.57 | -132 |
| 6 | 0.92 | -21 |
| 7 | 0.66 | -129 |
| 8 | 0.45 | -153 |